1.
# PBE-GGA Pm3TeP, optimized geometry
# * DFT total energy: -26.473 eV/cell
# * N(E_F): 4.8 states/eV/cell
# * SG: Pm-3m
# * M_tot: 0.00 μB/cell
# * E_form (uncorrected): -0.734 eV/atom
data_Pm3TeP
_space_group_name_H-M_alt 'P 1'
_space_group_IT_number 1
_cell_length_a 5.4183
_cell_length_b 5.4183
_cell_length_c 5.4183
_cell_angle_alpha 90.00
_cell_angle_beta 90.00
_cell_angle_gamma 90.00
loop_
_space_group_symop_operation_xyz
'x,y,z'
loop_
_atom_site_label
_atom_site_type_symbol
_atom_site_fract_x
_atom_site_fract_y
_atom_site_fract_z
P1 P 0.0000 0.0000 0.0000
Te1 Te 0.5000 0.5000 0.5000
Pm1 Pm 0.0000 0.5000 0.0000
Pm2 Pm 0.0000 0.0000 0.5000
Pm3 Pm 0.5000 0.0000 0.0000

2.
# PBE-GGA Pm6Te5P, optimized geometry
# * DFT total energy: -67.497 eV/cell
# * N(E_F): 6.5 states/eV/cell
# * SG: C2/m
# * M_tot: 0.00 μB/cell
# * E_form (uncorrected): -1.490 eV/atom
data_Pm6Te5P
_space_group_name_H-M_alt 'P 1'
_space_group_IT_number 1
_cell_length_a 7.6495
_cell_length_b 7.6641
_cell_length_c 7.6627
_cell_angle_alpha 59.99
_cell_angle_beta 80.46
_cell_angle_gamma 70.64
loop_
_space_group_symop_operation_xyz
'x,y,z'
loop_
_atom_site_label
_atom_site_type_symbol
_atom_site_fract_x
_atom_site_fract_y
_atom_site_fract_z
Pm1 Pm 0.7737 0.0747 0.2999
Pm2 Pm 0.2263 0.6255 0.2999
Pm3 Pm 0.2332 0.2207 0.0000
Pm4 Pm 0.7668 0.7793 0.0000
Pm5 Pm 0.7737 0.3745 0.7001
Pm6 Pm 0.2263 0.9253 0.7001
Te1 Te 0.5000 0.1759 0.6483
Te2 Te 0.0000 0.3351 0.3297
Te3 Te 0.5000 0.5000 0.0000
Te4 Te 0.0000 0.6649 0.6703
Te5 Te 0.5000 0.8241 0.3517
P1 P 0.0000 0.0000 0.0000